Entry P
## Tl3CuBr4 (GGA-PBE)

Data for a geometry-optimized Tl3CuBr4 structure.

Unit cell a=9.6029 b=9.5654 c=6.6435 alpha=90.00 beta=90.00 gamma=90.00
Closest atoms and distances in Å follow each position.
Sites, in units of the cell vectors:
Tl  0.0000  0.0900  0.0000  5 Br 3.24-3.39
Tl  0.1987  0.3449  0.4973  3 Br 3.06-3.30
Tl  0.3013  0.6551  0.9973  3 Br 3.06-3.30
Tl  0.5000  0.9100  0.5000  5 Br 3.24-3.39
Tl  0.6987  0.6551  0.9973  3 Br 3.06-3.30
Tl  0.8013  0.3449  0.4973  3 Br 3.06-3.30
Cu  0.0000  0.7921  0.4270  4 Br 2.48-2.53
Cu  0.5000  0.2079  0.9270  4 Br 2.48-2.53
Br  0.0000  0.0458  0.5064  1 Cu 2.48
Br  0.0000  0.7532  0.0504  1 Cu 2.53
Br  0.2285  0.6883  0.5181  1 Cu 2.48
Br  0.2715  0.3117  0.0181  1 Cu 2.48
Br  0.5000  0.2468  0.5504  1 Cu 2.53
Br  0.5000  0.9542  0.0064  1 Cu 2.48
Br  0.7285  0.3117  0.0181  1 Cu 2.48
Br  0.7715  0.6883  0.5181  1 Cu 2.48

## Properties
spin magnetization	0.3	μB/cell

=====

Entry Q
## Tl3CuBr4 (GGA-PBE)

Data for a geometry-optimized Tl3CuBr4 structure.

Unit cell a=4.4910 b=11.9885 c=10.3944 alpha=90.00 beta=90.00 gamma=90.00
Closest atoms and distances in Å follow each position.
Sites, in units of the cell vectors:
Tl  0.2500  0.0698  0.1301  3 Br 3.06-3.23
Tl  0.2500  0.4302  0.1301  3 Br 3.06-3.23
Tl  0.2500  0.7500  0.4301  6 Br 3.29-3.45, 2 Cu 3.54
Tl  0.7500  0.2500  0.5699  6 Br 3.29-3.45, 2 Cu 3.54
Tl  0.7500  0.5698  0.8699  3 Br 3.06-3.23
Tl  0.7500  0.9302  0.8699  3 Br 3.06-3.23
Cu  0.2500  0.2500  0.8335  4 Br 2.44-2.62
Cu  0.7500  0.7500  0.1665  4 Br 2.44-2.62
Br  0.2500  0.0730  0.7180  1 Cu 2.44
Br  0.2500  0.2500  0.3389  4 Tl 3.06-3.29
Br  0.2500  0.4270  0.7180  1 Cu 2.44
Br  0.2500  0.7500  0.0373  2 Cu 2.62
Br  0.7500  0.2500  0.9627  2 Cu 2.62
Br  0.7500  0.5730  0.2820  1 Cu 2.44
Br  0.7500  0.7500  0.6611  4 Tl 3.06-3.29
Br  0.7500  0.9270  0.2820  1 Cu 2.44

## Properties
N(E_F)	0.0	states/eV per cell
spin magnetization	0.2	μB/cell

=====

According to the calculations, the structures order from most to least stable as entry Q, entry P.

=====

Entry P
## TmCu2Br6 (GGA-PBE)

Data for a geometry-optimized TmCu2Br6 structure.

Unit cell a=9.5340 b=9.5340 c=6.8676 alpha=95.63 beta=95.63 gamma=78.59
Closest atoms and distances in Å follow each position.
Sites, in units of the cell vectors:
Tm  0.0937  0.9063  0.7500  6 Br 2.76-2.80
Tm  0.9063  0.0937  0.2500  6 Br 2.76-2.80
Cu  0.3074  0.4572  0.7253  3 Br 2.31-2.36
Cu  0.4572  0.3074  0.2253  3 Br 2.31-2.36
Cu  0.5428  0.6926  0.7747  3 Br 2.31-2.36
Cu  0.6926  0.5428  0.2747  3 Br 2.31-2.36
Br  0.0368  0.1787  0.6073  2 Tm 2.76-2.80
Br  0.1286  0.6312  0.8711  1 Cu 2.36
Br  0.1787  0.0368  0.1073  2 Tm 2.76-2.80
Br  0.2820  0.4693  0.3817  2 Cu 2.31-2.36
Br  0.3688  0.8714  0.6289  1 Cu 2.36
Br  0.4693  0.2820  0.8817  2 Cu 2.31-2.36
Br  0.5307  0.7180  0.1183  2 Cu 2.31-2.36
Br  0.6312  0.1286  0.3711  1 Cu 2.36
Br  0.7180  0.5307  0.6183  2 Cu 2.31-2.36
Br  0.8213  0.9632  0.8927  2 Tm 2.76-2.80
Br  0.8714  0.3688  0.1289  1 Cu 2.36
Br  0.9632  0.8213  0.3927  2 Tm 2.76-2.80

## Properties
N(E_F)	12.6	states/eV per cell
spin magnetization	0.0	μB/cell

=====

Entry Q
## TmCu2Br6 (GGA-PBE)

Data for a geometry-optimized TmCu2Br6 structure.

Unit cell a=9.9387 b=9.9387 c=7.0016 alpha=107.29 beta=107.29 gamma=80.29
Closest atoms and distances in Å follow each position.
Sites, in units of the cell vectors:
Tm  0.0854  0.9146  0.7500  6 Br 2.77-2.81
Tm  0.9146  0.0854  0.2500  6 Br 2.77-2.81
Cu  0.3418  0.5244  0.8409  4 Br 2.39-2.52
Cu  0.4756  0.6582  0.6591  4 Br 2.39-2.52
Cu  0.5244  0.3418  0.3409  4 Br 2.39-2.52
Cu  0.6582  0.4756  0.1591  4 Br 2.39-2.52
Br  0.0495  0.1802  0.6671  2 Tm 2.77-2.81
Br  0.1160  0.6541  0.8347  1 Cu 2.39
Br  0.1802  0.0495  0.1671  2 Tm 2.77-2.81
Br  0.3214  0.4577  0.4614  3 Cu 2.40-2.52
Br  0.3459  0.8840  0.6653  1 Cu 2.39
Br  0.4577  0.3214  0.9614  3 Cu 2.40-2.52
Br  0.5423  0.6786  0.0386  3 Cu 2.40-2.52
Br  0.6541  0.1160  0.3347  1 Cu 2.39
Br  0.6786  0.5423  0.5386  3 Cu 2.40-2.52
Br  0.8198  0.9504  0.8329  2 Tm 2.77-2.81
Br  0.8840  0.3459  0.1653  1 Cu 2.39
Br  0.9504  0.8198  0.3329  2 Tm 2.77-2.81

## Properties
N(E_F)	13.8	states/eV per cell
spin magnetization	1.1	μB/cell

=====

According to the calculations, the structures order from most to least stable as entry Q, entry P.

=====

Entry P
## Cu3WBr (GGA-PBE)

Data for a geometry-optimized Cu3WBr structure.

Unit cell a=4.8142 b=4.8142 c=4.8142 alpha=90.00 beta=90.00 gamma=90.00
Closest atoms and distances in Å follow each position.
Sites, in units of the cell vectors:
Cu  0.0000  0.0000  0.5000  2 W 2.41
Cu  0.0000  0.5000  0.0000  2 W 2.41
Cu  0.5000  0.0000  0.0000  2 W 2.41
W  0.0000  0.0000  0.0000  6 Cu 2.41
Br  0.5000  0.5000  0.5000  12 Cu 3.40

## Properties
N(E_F)	2.6	states/eV per cell
spin magnetization	0.0	μB/cell

=====

Entry Q
## Cu3WBr (GGA-PBE)

Data for a geometry-optimized Cu3WBr structure.

Unit cell a=4.4789 b=4.4789 c=4.4789 alpha=90.00 beta=90.00 gamma=90.00
Closest atoms and distances in Å follow each position.
Sites, in units of the cell vectors:
Cu  0.0000  0.0000  0.5000  2 Br 2.24
Cu  0.0000  0.5000  0.0000  2 Br 2.24
Cu  0.5000  0.0000  0.0000  2 Br 2.24
W  0.5000  0.5000  0.5000  12 Cu 3.17
Br  0.0000  0.0000  0.0000  6 Cu 2.24

## Properties
N(E_F)	5.8	states/eV per cell
spin magnetization	0.0	μB/cell

=====

According to the calculations, the structures order from most to least stable as entry P, entry Q.

=====

Entry P
## YCu2Br (GGA-PBE)

Data for a geometry-optimized YCu2Br structure.

Unit cell a=3.7887 b=3.7887 c=5.8453 alpha=90.00 beta=90.00 gamma=90.00
Closest atoms and distances in Å follow each position.
Sites, in units of the cell vectors:
Y  0.0000  0.0000  0.0000  2 Br 2.92, 8 Cu 2.96
Cu  0.5000  0.5000  0.2169  1 Cu 2.54
Cu  0.5000  0.5000  0.7831  1 Cu 2.54
Br  0.0000  0.0000  0.5000  2 Y 2.92, 8 Cu 3.15

## Properties
N(E_F)	2.2	states/eV per cell
spin magnetization	0.0	μB/cell

=====

Entry Q
## YCu2Br (GGA-PBE)

Data for a geometry-optimized YCu2Br structure.

Unit cell a=4.0050 b=4.0162 c=4.9127 alpha=90.00 beta=90.00 gamma=90.00
Closest atoms and distances in Å follow each position.
Sites, in units of the cell vectors:
Y  0.0000  0.0000  0.0000  4 Br 2.84, 8 Cu 3.17
Cu  0.0000  0.5000  0.5000  4 Cu 2.84, 4 Br 3.17, 4 Y 3.17
Cu  0.5000  0.0000  0.5000  4 Cu 2.84, 4 Y 3.17, 4 Br 3.17
Br  0.5000  0.5000  0.0000  4 Y 2.84, 8 Cu 3.17

## Properties
N(E_F)	1.7	states/eV per cell
spin magnetization	0.0	μB/cell

=====

According to the calculations, the structures order from most to least stable as entry Q, entry P.